PmVSeO2: relaxed, PBE with a Hubbard U.

Output
Crystal system: tetragonal
VASP energy, eV per atom: -7.365
Total magnetic moment, μB per formula unit: 2.00

Unit cell a=3.9519 b=3.9519 c=5.6963 alpha=90.00 beta=90.00 gamma=90.00
Space group P4mm (No. 99)
Symmetry-distinct sites (fractional):
Pm: 0.0000 0.0000 0.0000
V: 0.5000 0.5000 0.3123
Se: 0.5000 0.5000 0.7658
O: 0.0000 0.5000 0.2415